# 1
Density functional theory data (GGA-PBE) for crystalline SrScS3 at its relaxed geometry.

Lattice parameters (Å, degrees): 5.2893 5.2893 5.2893 90.00 90.00 90.00
With the nearest neighbours (Å) after each atom.
Fractional positions:
S: 0.5000 0.0000 0.0000  2 Sr 2.64
S: 0.0000 0.0000 0.5000  2 Sr 2.64
S: 0.0000 0.5000 0.0000  2 Sr 2.64
Sr: 0.0000 0.0000 0.0000  6 S 2.64
Sc: 0.5000 0.5000 0.5000  12 S 3.74

Values from the calculation:
**Symmetry**: Pm-3m, No. 221

***

# 2
Density functional theory data (GGA-PBE) for crystalline SrSc4S6 at its relaxed geometry.

Lattice parameters (Å, degrees): 3.7635 6.4237 19.3629 90.00 90.00 107.03
With the nearest neighbours (Å) after each atom.
Fractional positions:
Sc: 0.4050 0.8101 0.3732  6 S 2.52-2.72
Sc: 0.1375 0.2751 0.4603  6 S 2.55-2.65
Sc: 0.5950 0.1899 0.8732  6 S 2.52-2.72
Sc: 0.5950 0.1899 0.6268  6 S 2.52-2.72
Sc: 0.8625 0.7249 0.9603  6 S 2.55-2.65
Sc: 0.1375 0.2751 0.0397  6 S 2.55-2.65
Sc: 0.4050 0.8101 0.1268  6 S 2.52-2.72
Sc: 0.8625 0.7249 0.5397  6 S 2.55-2.65
S: 0.2299 0.4597 0.9163  5 Sc 2.63-2.65
S: 0.0405 0.0810 0.3441  3 Sc 2.55-2.57
S: 0.7701 0.5403 0.4163  5 Sc 2.63-2.65
S: 0.0405 0.0810 0.1559  3 Sc 2.55-2.57
S: 0.9595 0.9190 0.8441  3 Sc 2.55-2.57
S: 0.3379 0.6759 0.2500  2 Sc 2.52
S: 0.5000 0.0000 0.0000  6 Sc 2.64-2.72
S: 0.6621 0.3241 0.7500  2 Sc 2.52
S: 0.7701 0.5403 0.0837  5 Sc 2.63-2.65
S: 0.5000 0.0000 0.5000  6 Sc 2.64-2.72
S: 0.9595 0.9190 0.6559  3 Sc 2.55-2.57
S: 0.2299 0.4597 0.5837  5 Sc 2.63-2.65
Sr: 0.3425 0.6849 0.7500  6 S 2.91-2.99
Sr: 0.6575 0.3151 0.2500  6 S 2.91-2.99

Values from the calculation:
**Symmetry**: Cmcm, No. 63

***

# 3
Density functional theory data (GGA-PBE) for crystalline SrSc2S4 at its relaxed geometry.

Lattice parameters (Å, degrees): 3.8040 11.7184 13.7409 90.00 90.00 90.00
With the nearest neighbours (Å) after each atom.
Fractional positions:
Sr: 0.2500 0.7391 0.1664  8 S 3.03-3.20
Sr: 0.2500 0.2391 0.3336  8 S 3.03-3.20
Sr: 0.7500 0.2609 0.8336  8 S 3.03-3.20
Sr: 0.7500 0.7609 0.6664  8 S 3.03-3.20
Sc: 0.7500 0.4192 0.0985  6 S 2.57-2.66
Sc: 0.2500 0.5808 0.9015  6 S 2.57-2.66
Sc: 0.7500 0.4400 0.6095  6 S 2.55-2.63
Sc: 0.2500 0.5600 0.3905  6 S 2.55-2.63
Sc: 0.2500 0.0600 0.1095  6 S 2.55-2.63
Sc: 0.7500 0.9400 0.8905  6 S 2.55-2.63
Sc: 0.7500 0.9192 0.4015  6 S 2.57-2.66
Sc: 0.2500 0.0808 0.5985  6 S 2.57-2.66
S: 0.7500 0.0278 0.7157  3 Sc 2.57-2.61
S: 0.2500 0.2963 0.6601  3 Sc 2.63-2.66
S: 0.2500 0.4722 0.2157  3 Sc 2.57-2.61
S: 0.2500 0.5862 0.5750  3 Sc 2.55-2.60
S: 0.7500 0.2037 0.1601  3 Sc 2.63-2.66
S: 0.2500 0.9722 0.2843  3 Sc 2.57-2.61
S: 0.2500 0.8773 0.5268  3 Sc 2.58-2.61
S: 0.2500 0.7963 0.8399  3 Sc 2.63-2.66
S: 0.7500 0.9138 0.0750  3 Sc 2.55-2.60
S: 0.7500 0.6227 0.0268  3 Sc 2.58-2.61
S: 0.7500 0.4138 0.4250  3 Sc 2.55-2.60
S: 0.7500 0.7037 0.3399  3 Sc 2.63-2.66
S: 0.2500 0.3773 0.9732  3 Sc 2.58-2.61
S: 0.7500 0.1227 0.4732  3 Sc 2.58-2.61
S: 0.7500 0.5278 0.7843  3 Sc 2.57-2.61
S: 0.2500 0.0862 0.9250  3 Sc 2.55-2.60

Values from the calculation:
**Symmetry**: Pnma, No. 62

***

# 4
Density functional theory data (GGA-PBE) for crystalline SrSc2S at its relaxed geometry.

Lattice parameters (Å, degrees): 9.7122 9.7122 9.7122 21.78 21.78 21.78
With the nearest neighbours (Å) after each atom.
Fractional positions:
Sc: 0.1182 0.1182 0.1182  3 S 2.53
Sc: 0.8818 0.8818 0.8818  3 S 2.53
Sr: 0.0000 0.0000 0.0000  2 Sc 3.36, 6 Sr 3.67
S: 0.5000 0.5000 0.5000  6 Sc 2.53

Values from the calculation:
**Symmetry**: R-3m, No. 166

***

# 5
Density functional theory data (GGA-PBE) for crystalline Sr2TbScS4 at its relaxed geometry.

Lattice parameters (Å, degrees): 3.9921 6.8947 7.0990 108.97 90.00 90.00
With the nearest neighbours (Å) after each atom.
Fractional positions:
S: 0.5000 0.7672 0.7792  2 Sc 2.72, 1 Tb 2.78, 3 Sr 2.93-2.99
S: 0.0000 0.2501 0.7742  1 Sc 2.71, 2 Tb 2.78, 3 Sr 2.93-2.99
S: 0.0000 0.7499 0.2258  1 Sc 2.71, 2 Tb 2.78, 3 Sr 2.93-2.99
S: 0.5000 0.2328 0.2208  2 Sc 2.72, 1 Tb 2.78, 3 Sr 2.93-2.99
Sc: 0.0000 0.0000 0.0000  6 S 2.71-2.72
Sr: 0.0000 0.5000 0.5000  6 S 2.99
Sr: 0.5000 0.0000 0.5000  6 S 2.93
Tb: 0.5000 0.5000 0.0000  6 S 2.78

Values from the calculation:
**Symmetry**: P2/m, No. 10

***

# 6
Density functional theory data (GGA-PBE) for crystalline Sr3Tb3ScS8 at its relaxed geometry.

Lattice parameters (Å, degrees): 7.9614 7.9572 8.2550 118.81 90.01 119.99
With the nearest neighbours (Å) after each atom.
Fractional positions:
Sr: 0.0000 0.0000 0.0000  6 S 2.95-2.97
Sr: 0.5000 0.5000 0.0000  6 S 2.95-2.97
Sr: 0.0000 0.5000 0.0000  6 S 2.95-2.97
S: 0.2563 0.5128 0.2691  3 Tb 2.79, 3 Sr 2.95
S: 0.7437 0.4872 0.7309  3 Tb 2.79, 3 Sr 2.95
S: 0.2329 0.9849 0.7178  1 Sc 2.67, 2 Tb 2.78, 2 Sr 2.97
S: 0.7673 0.5347 0.2824  1 Sc 2.66, 2 Tb 2.78, 2 Sr 2.97
S: 0.7522 0.9849 0.7177  1 Sc 2.67, 2 Tb 2.78, 2 Sr 2.97
S: 0.7671 0.0151 0.2822  1 Sc 2.67, 2 Tb 2.78, 2 Sr 2.97
S: 0.2478 0.0151 0.2823  1 Sc 2.67, 2 Tb 2.78, 2 Sr 2.97
S: 0.2327 0.4653 0.7176  1 Sc 2.66, 2 Tb 2.78, 2 Sr 2.97
Tb: 0.5000 0.5000 0.5000  6 S 2.78-2.79
Tb: 0.5000 0.0000 0.5000  6 S 2.78-2.79
Tb: 0.0000 0.5000 0.5000  6 S 2.78-2.79
Sc: 0.0000 0.0000 0.5000  6 S 2.66-2.67

Values from the calculation:
**Symmetry**: R-3m, No. 166

***

no.,uncorrected formation energy (eV/atom),mass density (g cm⁻³)
1,-0.087,2.6
2,-1.955,3.4
3,-2.010,3.3
4,-0.685,3.1
5,-1.981,4.6
6,-2.064,4.6